[1]
HoAgCl6 | Alexandria | PBE | relaxed; space group = P-1, No. 2
1.0
-2.873 6.818 -0.796
-4.672 3.625 -5.291
-6.634 1.344 1.592
Ho Ag Cl
1 1 6
direct
0.500 0.500 0.500 Ho
0.000 0.000 0.000 Ag
0.113 0.483 0.698 Cl
0.721 0.096 0.830 Cl
0.608 0.212 0.297 Cl
0.279 0.904 0.170 Cl
0.887 0.517 0.302 Cl
0.392 0.788 0.703 Cl

---

[2]
La2PrBi2 | Alexandria | PBE | relaxed; calculated formation energy = -0.54 eV/atom; space group = C2/m, No. 12
1.0
4.596 -0.633 0.429
0.608 4.600 0.429
1.715 1.307 8.252
La Pr Bi
2 1 2
direct
0.256 0.744 0.500 La
0.744 0.256 0.500 La
0.000 0.000 0.000 Pr
0.391 0.391 0.199 Bi
0.609 0.609 0.801 Bi

---

[3]
BaMg14W | Alexandria | PBE | relaxed; calculated formation energy = 0.24 eV/atom; space group = Amm2, No. 38; relative energy among the computed polymorphs = 4 meV per atom
1.0
3.164 -5.689 0.000
3.164 5.689 0.000
0.000 0.000 10.576
Ba Mg W
1 14 1
direct
0.804 0.196 0.500 Ba
0.838 0.162 0.000 Mg
0.336 0.664 0.000 Mg
0.309 0.184 0.500 Mg
0.324 0.158 0.000 Mg
0.816 0.691 0.500 Mg
0.842 0.676 0.000 Mg
0.182 0.338 0.251 Mg
0.182 0.338 0.749 Mg
0.662 0.818 0.251 Mg
0.662 0.818 0.749 Mg
0.664 0.336 0.223 Mg
0.664 0.336 0.777 Mg
0.183 0.817 0.277 Mg
0.183 0.817 0.723 Mg
0.349 0.651 0.500 W

---

[4]
Ba2GdCd | Alexandria | PBE | relaxed; calculated formation energy = 0.24 eV/atom; space group = R-3m, No. 166; relative energy among the computed polymorphs = 253 meV per atom
1.0
3.909 0.000 0.000
1.954 3.385 0.000
1.954 1.128 12.908
Gd Ba Cd
1 2 1
direct
0.000 0.000 0.000 Gd
0.095 0.095 0.716 Ba
0.905 0.905 0.284 Ba
0.500 0.500 0.500 Cd

---

[5]
CeNdSm2Dy4 | Alexandria | PBE | relaxed; calculated formation energy = 0.04 eV/atom; space group = P2/m, No. 10
1.0
-0.787 -2.036 2.838
5.945 -1.740 0.401
4.152 8.414 7.187
Ce Nd Sm Dy
1 1 2 4
direct
0.000 0.500 0.500 Ce
0.500 0.500 0.000 Nd
0.000 0.000 0.000 Sm
0.500 0.000 0.500 Sm
0.000 0.748 0.748 Dy
0.000 0.252 0.252 Dy
0.500 0.746 0.254 Dy
0.500 0.254 0.746 Dy

---

[6]
Nd4Sm5Tm2 | Alexandria | PBE | relaxed; calculated formation energy = 0.10 eV/atom; space group = C2/m, No. 12; relative energy among the computed polymorphs = 0 meV per atom
1.0
-0.282 -0.056 -3.555
8.158 -3.143 -0.597
-5.038 -10.908 2.360
Nd Sm Tm
4 5 2
direct
0.274 0.174 0.549 Nd
0.960 0.654 0.920 Nd
0.726 0.826 0.451 Nd
0.040 0.346 0.080 Nd
0.816 0.524 0.632 Sm
0.184 0.476 0.368 Sm
0.870 0.955 0.740 Sm
0.500 0.000 0.000 Sm
0.130 0.045 0.260 Sm
0.413 0.303 0.825 Tm
0.587 0.697 0.175 Tm

---

| no. | VASP energy (eV per atom) |
| --- | --- |
| 1 | -3.460 |
| 2 | -5.020 |
| 3 | -2.089 |
| 4 | -4.471 |
| 5 | -4.779 |
| 6 | -4.595 |